## i
{
  "formula": "Mg5Te",
  "functional": "SCAN",
  "state": "single point on PBEsol structure",
  "lattice": [[-0.6068, -3.0622, -2.8031], [2.5269, -2.9451, 2.6703], [-5.5624, -0.4189, 4.8017]],
  "species": ["Mg", "Mg", "Mg", "Mg", "Mg", "Te"],
  "fractional_positions": [[0.9670, 0.0000, 0.9340], [0.3110, 0.0000, 0.6221], [0.6391, 0.0000, 0.2781], [0.4696, 0.5000, 0.9392], [0.8080, 0.5000, 0.6160], [0.1386, 0.5000, 0.2773]],
  "magnetic_moment_mub_per_cell": 0.00
}


## ii
{
  "formula": "Mg5Te",
  "functional": "SCAN",
  "state": "single point on PBEsol structure",
  "lattice": [[5.1328, 0.0000, 0.0000], [0.0000, 5.8421, 0.0000], [0.0000, -2.9210, 5.0594]],
  "species": ["Mg", "Mg", "Mg", "Mg", "Mg", "Te"],
  "fractional_positions": [[0.0000, 0.6667, 0.3333], [0.0000, 0.3333, 0.6667], [0.5000, 0.5000, 0.5000], [0.5000, 0.0000, 0.5000], [0.5000, 0.5000, 0.0000], [0.0000, 0.0000, 0.0000]],
  "magnetic_moment_mub_per_cell": 0.00
}


Most stable to least stable: i, ii


## i
{
  "formula": "MgTeW2",
  "functional": "SCAN",
  "state": "single point on PBEsol structure",
  "lattice": [[4.5825, 0.0000, 0.0000], [2.2912, 3.9685, 0.0000], [2.2912, 1.3228, 3.7416]],
  "species": ["Mg", "Te", "W", "W"],
  "fractional_positions": [[0.0000, 0.0000, 0.0000], [0.5000, 0.5000, 0.5000], [0.7500, 0.7500, 0.7500], [0.2500, 0.2500, 0.2500]],
  "magnetic_moment_mub_per_cell": 0.00
}


## ii
{
  "formula": "MgTeW2",
  "functional": "SCAN",
  "state": "single point on PBEsol structure",
  "lattice": [[3.1724, 0.0000, 0.0000], [0.0000, 4.6771, -0.0034], [-1.5862, -0.6656, 4.7517]],
  "species": ["Mg", "Te", "W", "W"],
  "fractional_positions": [[0.5000, 0.0000, 0.0000], [0.0000, 0.5000, 0.0000], [0.2522, 0.2422, 0.5043], [0.7478, 0.7578, 0.4957]],
  "magnetic_moment_mub_per_cell": 0.00
}


## iii
{
  "formula": "MgTeW2",
  "functional": "SCAN",
  "state": "single point on PBEsol structure",
  "lattice": [[3.8860, 0.0000, 0.0000], [0.0000, 3.8860, 0.0000], [0.0000, 0.0000, 4.6746]],
  "species": ["Mg", "Te", "W", "W"],
  "fractional_positions": [[0.5000, 0.5000, 0.5000], [0.0000, 0.0000, 0.5000], [0.0000, 0.5000, 0.0000], [0.5000, 0.0000, 0.0000]],
  "magnetic_moment_mub_per_cell": 0.00
}


Most stable to least stable: ii, iii, i